(1)
GGA-PBE Pm6Dy2Y3, optimized geometry; total magnetic moment = 0.00 Bohr magnetons per cell; distance to the lowest polymorph of the same formula = 0 meV per atom; ΔE_f = 0.1 eV/f.u.; E = -56.97 eV per cell; SG = R-3m (166)
1.0
3.605 0.000 0.221
1.796 3.126 0.221
-0.174 -0.101 32.333
Dy Y Pm
2 3 6
Direct
0.454 0.454 0.637
0.546 0.546 0.363
0.727 0.727 0.819
0.000 0.000 0.000
0.273 0.273 0.181
0.818 0.818 0.547
0.091 0.091 0.727
0.364 0.364 0.909
0.909 0.909 0.273
0.182 0.182 0.453
0.636 0.636 0.091

=====

(2)
GGA-PBE PmDyY6, optimized geometry; total magnetic moment = 0.00 Bohr magnetons per cell; distance to the lowest polymorph of the same formula = 0 meV per atom; ΔE_f = 1.2 eV/f.u.; E = -46.91 eV per cell; SG = R-3 (148)
1.0
-1.834 -6.786 5.060
6.322 -4.044 6.071
0.637 -0.938 6.386
Y Dy Pm
6 1 1
Direct
0.957 0.456 0.839
0.252 0.043 0.250
0.544 0.748 0.664
0.043 0.544 0.161
0.456 0.252 0.336
0.748 0.957 0.750
0.500 0.500 0.500
0.000 0.000 0.000

=====

(3)
GGA-PBE PmDy7Y3, optimized geometry; total magnetic moment = 0.00 Bohr magnetons per cell; distance to the lowest polymorph of the same formula = 44 meV per atom; ΔE_f = 2.1 eV/f.u.; E = -54.23 eV per cell; SG = P3m1 (156)
1.0
8.635 0.000 0.000
0.000 7.063 0.000
0.000 -3.532 6.117
Y Dy Pm
3 7 1
Direct
0.784 0.500 0.001
0.784 0.500 0.500
0.784 0.999 0.500
0.448 0.336 0.168
0.117 0.168 0.336
0.448 0.832 0.168
0.121 0.667 0.333
0.448 0.832 0.664
0.117 0.168 0.832
0.117 0.664 0.832
0.444 0.333 0.667

=====

(4)
GGA-PBE PmDy6Y4, optimized geometry; total magnetic moment = 0.00 Bohr magnetons per cell; distance to the lowest polymorph of the same formula = 16 meV per atom; ΔE_f = 3.5 eV/f.u.; E = -54.67 eV per cell; SG = I-42m (121)
1.0
-2.977 -5.866 0.143
4.262 -2.272 -4.468
4.618 1.552 8.459
Y Dy Pm
4 6 1
Direct
0.954 0.954 0.267
0.687 0.046 0.733
0.313 0.313 0.267
0.046 0.687 0.733
0.857 0.486 0.342
0.486 0.857 0.342
0.500 0.000 0.000
0.000 0.500 0.000
0.514 0.514 0.658
0.143 0.143 0.658
0.500 0.500 0.000

=====

(5)
GGA-PBE Pm2Dy4Y7, optimized geometry; total magnetic moment = 0.00 Bohr magnetons per cell; ΔE_f = 1.8 eV/f.u.; E = -71.38 eV per cell; SG = C2/m (12)
1.0
6.364 0.002 0.200
-3.183 5.686 -0.096
0.326 -0.013 11.847
Dy Y Pm
4 7 2
Direct
0.789 0.000 0.444
0.726 0.452 0.500
0.211 0.000 0.556
0.274 0.548 0.500
0.685 0.000 0.738
0.991 0.360 0.234
0.315 0.000 0.262
0.631 0.640 0.234
0.000 0.000 0.000
0.009 0.640 0.766
0.369 0.360 0.766
0.336 0.673 0.000
0.664 0.327 0.000

=====

(6)
GGA-PBE Pm2Dy4Y5, optimized geometry; total magnetic moment = 0.00 Bohr magnetons per cell; distance to the lowest polymorph of the same formula = 119 meV per atom; ΔE_f = 1.8 eV/f.u.; E = -58.41 eV per cell; SG = C2/m (12)
1.0
6.690 0.000 0.000
3.345 7.852 2.657
3.345 4.708 8.538
Dy Pm Y
4 2 5
Direct
0.587 0.230 0.595
0.756 0.685 0.803
0.244 0.315 0.197
0.413 0.770 0.405
0.798 0.107 0.297
0.202 0.893 0.703
0.351 0.729 0.092
0.172 0.271 0.908
0.828 0.729 0.092
0.649 0.271 0.908
0.000 0.500 0.500